[1]
Li2SmThTe4 | PBE | relaxed

Computed properties:
total magnetic moment = 0.00 Bohr magnetons per cell
formation energy (no corrections) = -1.190 eV per atom

Cell and atoms, written as CIF:
```
data_Li2SmThTe4
_cell_length_a 7.5611
_cell_length_b 4.3561
_cell_length_c 7.5999
_cell_angle_alpha 90.00
_cell_angle_beta 109.19
_cell_angle_gamma 90.00
_space_group_name_H-M_alt 'P 1 2/m 1'
_space_group_IT_number 10
loop_
_space_group_symop_operation_xyz
'x,y,z'
'-x,-y,-z'
'-x,y,-z'
'x,-y,z'
loop_
_atom_site_label
_atom_site_fract_x
_atom_site_fract_y
_atom_site_fract_z
Li1 0.0000 0.0000 0.0000
Li2 0.5000 0.5000 0.0000
Sm1 0.0000 0.5000 0.5000
Th1 0.5000 0.0000 0.5000
Te1 0.2433 0.5000 0.2326
Te2 0.2544 0.0000 0.7643
```


[2]
LiSmTh2Te4 | PBE | relaxed

Computed properties:
total magnetic moment = 0.00 Bohr magnetons per cell
formation energy (no corrections) = -1.149 eV per atom

Cell and atoms, written as CIF:
```
data_LiSmTh2Te4
_cell_length_a 7.3651
_cell_length_b 4.2382
_cell_length_c 8.1139
_cell_angle_alpha 90.00
_cell_angle_beta 107.26
_cell_angle_gamma 90.00
_space_group_name_H-M_alt 'P 1 2/m 1'
_space_group_IT_number 10
loop_
_space_group_symop_operation_xyz
'x,y,z'
'-x,-y,-z'
'-x,y,-z'
'x,-y,z'
loop_
_atom_site_label
_atom_site_fract_x
_atom_site_fract_y
_atom_site_fract_z
Li1 0.0000 0.0000 0.0000
Sm1 0.5000 0.5000 0.0000
Th1 0.0000 0.5000 0.5000
Th2 0.5000 0.0000 0.5000
Te1 0.2346 0.5000 0.2320
Te2 0.2423 0.0000 0.7643
```


[3]
Li3Sm2ThTe6 | PBE | relaxed

Computed properties:
total magnetic moment = 0.00 Bohr magnetons per cell
formation energy (no corrections) = -1.229 eV per atom

Cell and atoms, written as CIF:
```
data_Li3Sm2ThTe6
_cell_length_a 7.5866
_cell_length_b 13.1386
_cell_length_c 7.5706
_cell_angle_alpha 90.00
_cell_angle_beta 109.51
_cell_angle_gamma 90.00
_space_group_name_H-M_alt 'C 1 2/m 1'
_space_group_IT_number 12
loop_
_space_group_symop_operation_xyz
'x,y,z'
'-x,-y,-z'
'-x,y,-z'
'x,-y,z'
'x+1/2,y+1/2,z'
'-x+1/2,-y+1/2,-z'
'-x+1/2,y+1/2,-z'
'x+1/2,-y+1/2,z'
loop_
_atom_site_label
_atom_site_fract_x
_atom_site_fract_y
_atom_site_fract_z
Li1 0.0000 0.0000 0.0000
Li2 0.0000 0.3329 0.0000
Sm1 0.0000 0.1666 0.5000
Th1 0.0000 0.5000 0.5000
Te1 0.2449 0.5000 0.2363
Te2 0.2455 0.1664 0.2358
```


[4]
Li4SmTh3Te8 | PBE | relaxed

Computed properties:
total magnetic moment = 0.00 Bohr magnetons per cell
formation energy (no corrections) = -1.136 eV per atom

Cell and atoms, written as CIF:
```
data_Li4SmTh3Te8
_cell_length_a 8.6519
_cell_length_b 8.6519
_cell_length_c 21.8216
_cell_angle_alpha 90.00
_cell_angle_beta 90.00
_cell_angle_gamma 120.00
_space_group_name_H-M_alt 'R -3 m'
_space_group_IT_number 166
_space_group_name_Hall '-R 3 2"'
loop_
_atom_site_label
_atom_site_fract_x
_atom_site_fract_y
_atom_site_fract_z
Li1 0.0000 0.0000 0.0000
Li2 0.0000 0.5000 0.0000
Sm1 0.0000 0.0000 0.5000
Th1 0.0000 0.5000 0.5000
Te1 0.0000 0.0000 0.2571
Te2 0.0013 0.5006 0.2558
```